Entry 1:
First-principles (PBE) data for Y2FeTc after structural relaxation, as listed in Alexandria via LeMat-Bulk.

Properties
Calculated total energy in eV/atom: -7.524
Energy of formation in eV/f.u.: 1.66

Lattice parameters (Å, degrees): 4.821 4.821 4.821 60.00 60.00 60.00
Atoms (fractional coordinates):
1 Fe 0.500 0.500 0.500
2 Tc 0.750 0.750 0.750
3 Y 0.000 0.000 0.000
4 Y 0.250 0.250 0.250

***

Entry 2:
First-principles (PBE) data for KMg6Ti after structural relaxation, as listed in Alexandria via LeMat-Bulk.

Properties
Energy relative to the lowest polymorph listed for this composition in meV per atom: 0
Calculated total energy in eV/atom: -2.086
Energy of formation in eV/f.u.: 1.87

Lattice parameters (Å, degrees): 6.784 6.784 4.417 90.00 90.00 90.00
Atoms (fractional coordinates):
1 K 0.000 0.000 0.500
2 Mg 0.000 0.500 0.500
3 Mg 0.500 0.000 0.500
4 Mg 0.720 0.280 0.000
5 Mg 0.280 0.720 0.000
6 Mg 0.280 0.280 0.000
7 Mg 0.720 0.720 0.000
8 Ti 0.500 0.500 0.500

***

Entry 3:
First-principles (PBE) data for Li4AcInSn2 after structural relaxation, as listed in Alexandria via LeMat-Bulk.

Properties
Calculated total energy in eV/atom: -3.202
Energy of formation in eV/f.u.: -3.11

Lattice parameters (Å, degrees): 4.833 4.833 9.490 75.25 75.25 60.00
Atoms (fractional coordinates):
1 Li 0.403 0.403 0.792
2 Li 0.869 0.869 0.392
3 Li 0.131 0.131 0.608
4 Li 0.597 0.597 0.208
5 Ac 0.000 0.000 0.000
6 In 0.500 0.500 0.500
7 Sn 0.747 0.747 0.758
8 Sn 0.253 0.253 0.242

***

Entry 4:
First-principles (PBE) data for Li4Zn3Pt2 after structural relaxation, as listed in Alexandria via LeMat-Bulk.

Properties
Calculated total energy in eV/atom: -3.107
Energy of formation in eV/f.u.: -4.40

Lattice parameters (Å, degrees): 3.953 4.827 7.610 76.83 74.95 65.82
Atoms (fractional coordinates):
1 Li 0.667 0.550 0.116
2 Li 0.001 0.332 0.666
3 Li 0.999 0.668 0.334
4 Li 0.333 0.450 0.884
5 Zn 0.329 0.784 0.558
6 Zn 0.000 0.000 0.000
7 Zn 0.671 0.216 0.442
8 Pt 0.336 0.105 0.222
9 Pt 0.664 0.895 0.778

***

Entry 5:
First-principles (PBE) data for CePmEuAl after structural relaxation, as listed in Alexandria via LeMat-Bulk.

Properties
Calculated total energy in eV/atom: -6.176
Energy of formation in eV/f.u.: 0.00

Lattice parameters (Å, degrees): 5.461 5.461 5.461 60.00 60.00 60.00
Atoms (fractional coordinates):
1 Eu 0.750 0.750 0.750
2 Al 0.250 0.250 0.250
3 Ce 0.500 0.500 0.500
4 Pm 0.000 0.000 0.000

***

Entry 6:
First-principles (PBE) data for Ca2ZrTc2 after structural relaxation, as listed in Alexandria via LeMat-Bulk.

Properties
Energy relative to the lowest polymorph listed for this composition in meV per atom: 0
Calculated total energy in eV/atom: -6.323
Energy of formation in eV/f.u.: 1.67

Lattice parameters (Å, degrees): 6.753 6.753 5.130 90.00 90.00 90.00
Atoms (fractional coordinates):
1 Ca 0.173 0.673 0.500
2 Ca 0.673 0.827 0.500
3 Ca 0.827 0.327 0.500
4 Ca 0.327 0.173 0.500
5 Tc 0.375 0.875 0.000
6 Tc 0.875 0.625 0.000
7 Tc 0.625 0.125 0.000
8 Tc 0.125 0.375 0.000
9 Zr 0.000 0.000 0.000
10 Zr 0.500 0.500 0.000

***

Entry 7:
First-principles (PBE) data for Li2Hg2IO6 after structural relaxation, as listed in Alexandria via LeMat-Bulk.

Properties
Calculated total energy in eV/atom: -3.991

Lattice parameters (Å, degrees): 5.440 5.440 6.113 91.91 91.91 119.20
Atoms (fractional coordinates):
1 Li 0.342 0.658 0.500
2 Li 0.658 0.342 0.500
3 Hg 0.827 0.173 0.000
4 Hg 0.173 0.827 0.000
5 I 0.000 0.000 0.500
6 O 0.722 0.722 0.666
7 O 0.000 0.306 0.684
8 O 0.278 0.278 0.334
9 O 0.306 0.000 0.684
10 O 0.000 0.694 0.316
11 O 0.694 0.000 0.316

***

Entry 8:
First-principles (PBE) data for V3TcAs after structural relaxation, as listed in Alexandria via LeMat-Bulk.

Properties
Energy relative to the lowest polymorph listed for this composition in meV per atom: 111
Calculated total energy in eV/atom: -7.439
Energy of formation in eV/f.u.: 5.18

Lattice parameters (Å, degrees): 4.540 4.540 4.540 90.00 90.00 90.00
Atoms (fractional coordinates):
1 As 0.500 0.500 0.500
2 Tc 0.000 0.000 0.000
3 V 0.000 0.500 0.000
4 V 0.000 0.000 0.500
5 V 0.500 0.000 0.000